# CsK2Au2

A relaxed structure of CsK2Au2 (GGA-PBEsol, Alexandria).

Cell lengths 9.2739, 9.2739, 4.1231 Å; angles 90.00, 90.00, 90.00 degrees
Sites, in units of the cell vectors:
Cs (0.0000, 0.0000, 0.0000)
Cs (0.5000, 0.5000, 0.0000)
K (0.1365, 0.3635, 0.5000)
K (0.3635, 0.8635, 0.5000)
K (0.6365, 0.1365, 0.5000)
K (0.8635, 0.6365, 0.5000)
Au (0.1558, 0.6558, 0.0000)
Au (0.3442, 0.1558, 0.0000)
Au (0.6558, 0.8442, 0.0000)
Au (0.8442, 0.3442, 0.0000)

Summary:
Formation enthalpy at 0 K = -0.110 eV/atom
Calculated total energy = -2.321 eV/atom

# NbGe3Pd

A relaxed structure of NbGe3Pd (GGA-PBEsol, Alexandria).

Cell lengths 4.7177, 4.7177, 4.7177 Å; angles 90.00, 90.00, 90.00 degrees
Sites, in units of the cell vectors:
Nb (0.0000, 0.0000, 0.0000)
Ge (0.0000, 0.5000, 0.5000)
Ge (0.5000, 0.0000, 0.5000)
Ge (0.5000, 0.5000, 0.0000)
Pd (0.5000, 0.5000, 0.5000)

Summary:
Formation enthalpy at 0 K = 0.835 eV/atom
Calculated total energy = -5.485 eV/atom

# TaFeSeBr2

A relaxed structure of TaFeSeBr2 (GGA-PBEsol, Alexandria).

Cell lengths 5.0723, 5.0723, 4.9691 Å; angles 90.00, 90.00, 90.00 degrees
Sites, in units of the cell vectors:
Ta (0.0000, 0.0000, 0.0000)
Fe (0.5000, 0.5000, 0.5000)
Se (0.0000, 0.0000, 0.5000)
Br (0.0000, 0.5000, 0.0000)
Br (0.5000, 0.0000, 0.0000)

Summary:
Formation energy (no corrections) = 0.56 eV/atom
Calculated total energy = -5.264 eV/atom

# TiCo3Si

A relaxed structure of TiCo3Si (GGA-PBEsol, Alexandria).

Cell lengths 4.1465, 4.1465, 4.1465 Å; angles 90.00, 90.00, 90.00 degrees
Sites, in units of the cell vectors:
Ti (0.0000, 0.0000, 0.0000)
Co (0.0000, 0.0000, 0.5000)
Co (0.0000, 0.5000, 0.0000)
Co (0.5000, 0.0000, 0.0000)
Si (0.5000, 0.5000, 0.5000)

Summary:
Formation energy (no corrections) = 1.16 eV/atom
Calculated total energy = -6.293 eV/atom

- Which formula does entry 2 have?
  NbGe3Pd